Run P
Entry from the Open Quantum Materials Database: a relaxed TaZnFeSb crystal (GGA-PBE).

The value obtained for the calculated volume is 16.52 Å³ per atom. Its spin magnetization is 0.549 μB/atom.

Cell: 4.538 4.538 4.538 Å, 60.00 60.00 60.00°
Fractional coordinates of all 4 atoms:
Ta1 0.000 0.000 0.000
Zn1 0.750 0.750 0.750
Fe1 0.500 0.500 0.500
Sb1 0.250 0.250 0.250

***

Run Q
Entry from the Open Quantum Materials Database: a relaxed TaZnFeSb crystal (GGA-PBE).

The value obtained for the calculated volume is 16.16 Å³ per atom. Its spin magnetization is 0.000 μB/atom.

Cell: 4.504 4.504 4.504 Å, 60.00 60.00 60.00°
Fractional coordinates of all 4 atoms:
Ta1 0.000 0.000 0.000
Zn1 0.250 0.250 0.250
Fe1 0.750 0.750 0.750
Sb1 0.500 0.500 0.500

***

Which of them is the most stable, and which is the least stable? run Q and run P, in that order.

***

Run P
Entry from the Open Quantum Materials Database: a relaxed YFeSbW crystal (GGA-PBE).

The value obtained for the calculated volume is 18.65 Å³ per atom. Its spin magnetization is 0.905 μB/atom.

Cell: 4.725 4.725 4.725 Å, 60.00 60.00 60.00°
Fractional coordinates of all 4 atoms:
Y1 0.000 0.000 0.000
Fe1 0.500 0.500 0.500
Sb1 0.250 0.250 0.250
W1 0.750 0.750 0.750

***

Run Q
Entry from the Open Quantum Materials Database: a relaxed YFeSbW crystal (GGA-PBE).

The value obtained for the calculated volume is 18.33 Å³ per atom. Its spin magnetization is 0.572 μB/atom.

Cell: 4.698 4.698 4.698 Å, 60.00 60.00 60.00°
Fractional coordinates of all 4 atoms:
Y1 0.000 0.000 0.000
Fe1 0.750 0.750 0.750
Sb1 0.500 0.500 0.500
W1 0.250 0.250 0.250

***

Which of them is the most stable, and which is the least stable? run Q and run P, in that order.

***

Run P
Entry from the Open Quantum Materials Database: a relaxed ZnFeSbW crystal (GGA-PBE).

The value obtained for the calculated volume is 15.66 Å³ per atom. Its spin magnetization is 0.506 μB/atom.

Cell: 4.457 4.457 4.457 Å, 60.00 60.00 60.00°
Fractional coordinates of all 4 atoms:
Zn1 0.000 0.000 0.000
Fe1 0.750 0.750 0.750
Sb1 0.500 0.500 0.500
W1 0.250 0.250 0.250

***

Run Q
Entry from the Open Quantum Materials Database: a relaxed ZnFeSbW crystal (GGA-PBE).

The value obtained for the calculated volume is 15.73 Å³ per atom. Its spin magnetization is 0.623 μB/atom.

Cell: 4.464 4.464 4.464 Å, 60.00 60.00 60.00°
Fractional coordinates of all 4 atoms:
Zn1 0.000 0.000 0.000
Fe1 0.500 0.500 0.500
Sb1 0.250 0.250 0.250
W1 0.750 0.750 0.750

***

Which of them is the most stable, and which is the least stable? run P and run Q, in that order.

***

Run P
Entry from the Open Quantum Materials Database: a relaxed YZnFeSb crystal (GGA-PBE).

The value obtained for the calculated volume is 19.22 Å³ per atom. Its spin magnetization is 0.446 μB/atom.

Cell: 4.773 4.773 4.773 Å, 60.00 60.00 60.00°
Fractional coordinates of all 4 atoms:
Y1 0.000 0.000 0.000
Zn1 0.250 0.250 0.250
Fe1 0.750 0.750 0.750
Sb1 0.500 0.500 0.500

***

Run Q
Entry from the Open Quantum Materials Database: a relaxed YZnFeSb crystal (GGA-PBE).

The value obtained for the calculated volume is 19.93 Å³ per atom. Its spin magnetization is 0.502 μB/atom.

Cell: 4.831 4.831 4.831 Å, 60.00 60.00 60.00°
Fractional coordinates of all 4 atoms:
Y1 0.000 0.000 0.000
Zn1 0.750 0.750 0.750
Fe1 0.500 0.500 0.500
Sb1 0.250 0.250 0.250

***

Which of them is the most stable, and which is the least stable? run Q and run P, in that order.

***

Run P
Entry from the Open Quantum Materials Database: a relaxed Sc2Fe3Si5 crystal (GGA-PBE).

The value obtained for the calculated volume is 13.50 Å³ per atom. Its spin magnetization is 0.000 μB/atom.

Cell: 10.132 10.132 5.262 Å, 90.00 90.00 90.00°
Fractional coordinates of all 40 atoms:
Sc1 0.068 0.236 0.000
Sc2 0.236 0.932 0.000
Sc3 0.264 0.432 0.500
Sc4 0.432 0.736 0.500
Sc5 0.568 0.264 0.500
Sc6 0.736 0.568 0.500
Sc7 0.764 0.068 0.000
Sc8 0.932 0.764 0.000
Fe1 0.000 0.500 0.250
Fe2 0.000 0.500 0.750
Fe3 0.123 0.857 0.500
Fe4 0.143 0.123 0.500
Fe5 0.357 0.623 0.000
Fe6 0.377 0.357 0.000
Fe7 0.500 0.000 0.250
Fe8 0.500 0.000 0.750
Fe9 0.623 0.643 0.000
Fe10 0.643 0.377 0.000
Fe11 0.857 0.877 0.500
Fe12 0.877 0.143 0.500
Si1 0.000 0.000 0.246
Si2 0.000 0.000 0.754
Si3 0.028 0.319 0.500
Si4 0.178 0.678 0.250
Si5 0.178 0.678 0.750
Si6 0.181 0.472 0.000
Si7 0.319 0.972 0.500
Si8 0.322 0.178 0.250
Si9 0.322 0.178 0.750
Si10 0.472 0.819 0.000
Si11 0.500 0.500 0.254
Si12 0.500 0.500 0.746
Si13 0.528 0.181 0.000
Si14 0.678 0.822 0.250
Si15 0.678 0.822 0.750
Si16 0.681 0.028 0.500
Si17 0.819 0.528 0.000
Si18 0.822 0.322 0.250
Si19 0.822 0.322 0.750
Si20 0.972 0.681 0.500

***

Run Q
Entry from the Open Quantum Materials Database: a relaxed Sc2Fe3Si5 crystal (GGA-PBE).

The value obtained for the calculated volume is 13.69 Å³ per atom. Its spin magnetization is 0.001 μB/atom.

Cell: 7.796 7.796 5.221 Å, 109.45 109.45 95.92°
Fractional coordinates of all 20 atoms:
Sc1 0.086 0.374 0.230
Sc2 0.374 0.086 0.730
Sc3 0.626 0.914 0.270
Sc4 0.914 0.626 0.770
Fe1 0.061 0.765 0.413
Fe2 0.235 0.939 0.087
Fe3 0.500 0.500 0.250
Fe4 0.500 0.500 0.750
Fe5 0.765 0.061 0.913
Fe6 0.939 0.235 0.587
Si1 0.000 0.000 0.250
Si2 0.000 0.000 0.750
Si3 0.234 0.409 0.821
Si4 0.294 0.706 0.250
Si5 0.294 0.706 0.750
Si6 0.409 0.234 0.321
Si7 0.591 0.766 0.679
Si8 0.706 0.294 0.250
Si9 0.706 0.294 0.750
Si10 0.766 0.591 0.179

***

Which of them is the most stable, and which is the least stable? run P and run Q, in that order.

***

Run P
Entry from the Open Quantum Materials Database: a relaxed ScFeSiTc crystal (GGA-PBE).

The value obtained for the calculated volume is 13.81 Å³ per atom. Its spin magnetization is 0.448 μB/atom.

Cell: 4.275 4.275 4.275 Å, 60.00 60.00 60.00°
Fractional coordinates of all 4 atoms:
Sc1 0.000 0.000 0.000
Fe1 0.750 0.750 0.750
Si1 0.500 0.500 0.500
Tc1 0.250 0.250 0.250

***

Run Q
Entry from the Open Quantum Materials Database: a relaxed ScFeSiTc crystal (GGA-PBE).

The value obtained for the calculated volume is 14.68 Å³ per atom. Its spin magnetization is 0.847 μB/atom.

Cell: 4.363 4.363 4.363 Å, 60.00 60.00 60.00°
Fractional coordinates of all 4 atoms:
Sc1 0.000 0.000 0.000
Fe1 0.500 0.500 0.500
Si1 0.250 0.250 0.250
Tc1 0.750 0.750 0.750

***

Which of them is the most stable, and which is the least stable? run P and run Q, in that order.

***

Run P
Entry from the Open Quantum Materials Database: a relaxed ScZnFeSi crystal (GGA-PBE).

The value obtained for the calculated volume is 13.88 Å³ per atom. Its spin magnetization is 0.010 μB/atom.

Cell: 4.282 4.282 4.282 Å, 60.00 60.00 60.00°
Fractional coordinates of all 4 atoms:
Sc1 0.000 0.000 0.000
Zn1 0.750 0.750 0.750
Fe1 0.500 0.500 0.500
Si1 0.250 0.250 0.250

***

Run Q
Entry from the Open Quantum Materials Database: a relaxed ScZnFeSi crystal (GGA-PBE).

The value obtained for the calculated volume is 13.71 Å³ per atom. Its spin magnetization is 0.238 μB/atom.

Cell: 4.265 4.265 4.265 Å, 60.00 60.00 60.00°
Fractional coordinates of all 4 atoms:
Sc1 0.000 0.000 0.000
Zn1 0.750 0.750 0.750
Fe1 0.250 0.250 0.250
Si1 0.500 0.500 0.500

***

Which of them is the most stable, and which is the least stable? run P and run Q, in that order.

***

Run P
Entry from the Open Quantum Materials Database: a relaxed ScTlFeTc crystal (GGA-PBE).

The value obtained for the calculated volume is 17.27 Å³ per atom. Its spin magnetization is 0.830 μB/atom.

Cell: 4.605 4.605 4.605 Å, 60.00 60.00 60.00°
Fractional coordinates of all 4 atoms:
Sc1 0.000 0.000 0.000
Tl1 0.250 0.250 0.250
Fe1 0.500 0.500 0.500
Tc1 0.750 0.750 0.750

***

Run Q
Entry from the Open Quantum Materials Database: a relaxed ScTlFeTc crystal (GGA-PBE).

The value obtained for the calculated volume is 17.17 Å³ per atom. Its spin magnetization is 0.684 μB/atom.

Cell: 4.596 4.596 4.596 Å, 60.00 60.00 60.00°
Fractional coordinates of all 4 atoms:
Sc1 0.000 0.000 0.000
Tl1 0.500 0.500 0.500
Fe1 0.750 0.750 0.750
Tc1 0.250 0.250 0.250

***

Which of them is the most stable, and which is the least stable? run P and run Q, in that order.

***

Run P
Entry from the Open Quantum Materials Database: a relaxed ScZnFeTc crystal (GGA-PBE).

The value obtained for the calculated volume is 15.04 Å³ per atom. Its spin magnetization is 0.781 μB/atom.

Cell: 4.399 4.399 4.399 Å, 60.00 60.00 60.00°
Fractional coordinates of all 4 atoms:
Sc1 0.000 0.000 0.000
Zn1 0.500 0.500 0.500
Fe1 0.750 0.750 0.750
Tc1 0.250 0.250 0.250

***

Run Q
Entry from the Open Quantum Materials Database: a relaxed ScZnFeTc crystal (GGA-PBE).

The value obtained for the calculated volume is 14.99 Å³ per atom. Its spin magnetization is 0.501 μB/atom.

Cell: 4.393 4.393 4.393 Å, 60.00 60.00 60.00°
Fractional coordinates of all 4 atoms:
Sc1 0.000 0.000 0.000
Zn1 0.250 0.250 0.250
Fe1 0.500 0.500 0.500
Tc1 0.750 0.750 0.750

***

Which of them is the most stable, and which is the least stable? run Q and run P, in that order.

***

Run P
Entry from the Open Quantum Materials Database: a relaxed ScTlFeTe3 crystal (GGA-PBE).

The value obtained for the calculated volume is 30.54 Å³ per atom. Its spin magnetization is 0.572 μB/atom.

Cell: 9.598 4.079 9.994 Å, 90.00 110.51 90.00°
Fractional coordinates of all 12 atoms:
Sc1 0.168 0.250 0.145
Sc2 0.832 0.750 0.855
Tl1 0.295 0.750 0.770
Tl2 0.705 0.250 0.230
Fe1 0.434 0.750 0.419
Fe2 0.566 0.250 0.581
Te1 0.041 0.250 0.835
Te2 0.277 0.250 0.466
Te3 0.388 0.750 0.143
Te4 0.612 0.250 0.857
Te5 0.723 0.750 0.534
Te6 0.959 0.750 0.165

***

Run Q
Entry from the Open Quantum Materials Database: a relaxed ScTlFeTe3 crystal (GGA-PBE).

The value obtained for the calculated volume is 29.60 Å³ per atom. Its spin magnetization is 0.622 μB/atom.

Cell: 8.153 8.153 10.878 Å, 90.00 90.00 150.58°
Fractional coordinates of all 12 atoms:
Sc1 0.000 0.000 0.000
Sc2 0.000 0.000 0.500
Tl1 0.242 0.758 0.750
Tl2 0.758 0.242 0.250
Fe1 0.469 0.531 0.250
Fe2 0.531 0.469 0.750
Te1 0.072 0.928 0.250
Te2 0.373 0.627 0.056
Te3 0.373 0.627 0.444
Te4 0.627 0.373 0.556
Te5 0.627 0.373 0.944
Te6 0.928 0.072 0.750

***

Which of them is the most stable, and which is the least stable? run P and run Q, in that order.

***

Run P
Entry from the Open Quantum Materials Database: a relaxed Zr3Sc3FeTe2 crystal (GGA-PBE).

The value obtained for the calculated volume is 21.47 Å³ per atom. Its spin magnetization is 0.000 μB/atom.

Cell: 7.833 7.833 3.637 Å, 90.00 90.00 120.00°
Fractional coordinates of all 9 atoms:
Zr1 0.000 0.762 0.000
Zr2 0.238 0.238 0.000
Zr3 0.762 0.000 0.000
Sc1 0.000 0.396 0.500
Sc2 0.396 0.000 0.500
Sc3 0.604 0.604 0.500
Fe1 0.000 0.000 0.500
Te1 0.333 0.667 0.000
Te2 0.667 0.333 0.000

***

Run Q
Entry from the Open Quantum Materials Database: a relaxed Zr3Sc3FeTe2 crystal (GGA-PBE).

The value obtained for the calculated volume is 21.04 Å³ per atom. Its spin magnetization is 0.004 μB/atom.

Cell: 7.729 7.729 3.661 Å, 90.00 90.00 120.00°
Fractional coordinates of all 9 atoms:
Zr1 0.000 0.398 0.000
Zr2 0.398 0.000 0.000
Zr3 0.602 0.602 0.000
Sc1 0.000 0.765 0.500
Sc2 0.235 0.235 0.500
Sc3 0.765 0.000 0.500
Fe1 0.000 0.000 0.000
Te1 0.333 0.667 0.500
Te2 0.667 0.333 0.500

***

Which of them is the most stable, and which is the least stable? run P and run Q, in that order.